(1)
Here is a relaxed ZrAlCr2 crystal from the Alexandria database. Energies are from GGA-PBE.

Cell lengths 3.3402, 4.3668, 8.4080 Å; angles 90.00, 90.00, 90.00 degrees
Space group Immm (No. 71)
Inequivalent atoms, fractional coordinates:
Zr 0.0000 0.0000 0.0000 x2
Al 0.0000 0.0000 0.5000 x2
Cr 0.0000 0.5000 0.2515 x4

Results
Total magnetization   0.001 μB/cell
Calculated formation energy   0.8 eV per formula unit

(2)
Here is a relaxed Sc3CoC4 crystal from the Alexandria database. Energies are from GGA-PBE.

Cell lengths 3.4323, 4.3441, 11.9858 Å; angles 90.00, 90.00, 90.00 degrees
Space group Immm (No. 71)
Inequivalent atoms, fractional coordinates:
Sc 0.0000 0.0000 0.0000 x2
Sc 0.0000 0.5000 0.1878 x4
Co 0.0000 0.0000 0.5000 x2
C 0.0000 0.3330 0.3766 x8

Results
Total magnetization   0.000 μB/cell
Calculated formation energy   -3.6 eV per formula unit

(3)
Here is a relaxed La2Sm3Tl4 crystal from the Alexandria database. Energies are from GGA-PBE.

Cell lengths 9.4412, 5.4443, 10.8643 Å; angles 90.00, 90.07, 90.00 degrees
Space group C2/m (No. 12)
Inequivalent atoms, fractional coordinates:
La 0.1667 0.0000 0.2191 x4
Sm 0.0000 0.5000 0.0000 x2
Sm 0.1665 0.0000 0.5763 x4
Tl 0.0004 0.5000 0.3520 x4
Tl 0.1666 0.0000 0.8984 x4

Results
Total magnetization   0.000 μB/cell
Calculated formation energy   -2.9 eV per formula unit

(4)
Here is a relaxed ErSc2Pt crystal from the Alexandria database. Energies are from GGA-PBE.

Cell lengths 4.5486, 11.1188, 7.4387 Å; angles 90.00, 90.00, 90.00 degrees
Space group Cmcm (No. 63)
Inequivalent atoms, fractional coordinates:
Er 0.0000 0.0524 0.2500 x4
Sc 0.0000 0.3473 0.0439 x8
Pt 0.0000 0.2006 0.7500 x4

Results
Total magnetization   0.000 μB/cell
Calculated formation energy   -2.8 eV per formula unit

(5)
Here is a relaxed Li2GaH5 crystal from the Alexandria database. Energies are from GGA-PBE.

Cell lengths 7.5306, 7.5290, 6.9012 Å; angles 90.00, 123.00, 90.00 degrees
Space group C2/c (No. 15)
Inequivalent atoms, fractional coordinates:
Li 0.0000 0.0000 0.0000 x4
Li 0.2500 0.2500 0.0000 x4
Ga 0.0000 0.3759 0.2500 x4
H 0.0000 0.1245 0.7500 x4
H 0.0394 0.2540 0.0882 x8
H 0.2016 0.4990 0.4041 x8

Results
Total magnetization   0.000 μB/cell
E   -99.933 eV/cell

(6)
Here is a relaxed Dy2NiP3Rh4 crystal from the Alexandria database. Energies are from GGA-PBE.

Cell lengths 4.0517, 4.0517, 9.7738 Å; angles 90.00, 90.00, 90.00 degrees
Space group P-4m2 (No. 115)
Inequivalent atoms, fractional coordinates:
Dy 0.0000 0.5000 0.2392 x2
Ni 0.5000 0.5000 0.0000 x1
P 0.0000 0.0000 0.0000 x1
P 0.0000 0.5000 0.6372 x2
Rh 0.0000 0.0000 0.5000 x1
Rh 0.0000 0.5000 0.8680 x2
Rh 0.5000 0.5000 0.5000 x1

Results
Total magnetization   0.005 μB/cell
Calculated formation energy   -9.8 eV per formula unit

(7)
Here is a relaxed Ho6Tl5Hg crystal from the Alexandria database. Energies are from GGA-PBE.

Cell lengths 6.4608, 11.2327, 9.7417 Å; angles 90.00, 102.98, 90.00 degrees
Space group C2/m (No. 12)
Inequivalent atoms, fractional coordinates:
Ho 0.2457 0.0000 0.2510 x4
Ho 0.2461 0.1648 0.7460 x8
Tl 0.0000 0.1697 0.0000 x4
Tl 0.0000 0.3352 0.5000 x4
Tl 0.0000 0.5000 0.0000 x2
Hg 0.0000 0.0000 0.5000 x2

Results
Total magnetization   0.000 μB/cell
Calculated formation energy   -3.3 eV per formula unit

(8)
Here is a relaxed Li2ZrMo crystal from the Alexandria database. Energies are from GGA-PBE.

Cell lengths 3.4367, 3.4367, 6.2886 Å; angles 90.00, 90.00, 90.00 degrees
Space group P4mm (No. 99)
Inequivalent atoms, fractional coordinates:
Li 0.0000 0.0000 0.0000 x1
Li 0.5000 0.5000 0.2372 x1
Zr 0.5000 0.5000 0.6892 x1
Mo 0.0000 0.0000 0.4877 x1

Results
Total magnetization   0.000 μB/cell
Calculated formation energy   1.5 eV per formula unit

Number 1: DOS(E_F) 9.69 states/eV per cell. Number 2: DOS(E_F) 5.84 states/eV per cell. Number 3: DOS(E_F) 21.57 states/eV per cell. Number 4: DOS(E_F) 24.12 states/eV per cell. Number 5: DOS(E_F) 0.00 states/eV per cell. Number 6: DOS(E_F) 7.06 states/eV per cell. Number 7: DOS(E_F) 14.62 states/eV per cell. Number 8: DOS(E_F) 3.22 states/eV per cell.